2
Lattice="1.7095 -2.4554 0.0000 1.7095 2.4554 0.0000 -0.4968 0.0000 4.3199" Properties=species:S:1:pos:R:3 comment="ZrV (GGA-PBE, optimized geometry)" spacegroup=C2/m total_magnetization_mub_per_cell=0.0 pbc="T T T"
Zr 0.0000 0.0000 0.0000
V 1.4611 0.0000 2.1600

5
Lattice="4.6162 0.0000 0.0000 0.0000 4.6162 0.0000 0.0000 0.0000 4.6162" Properties=species:S:1:pos:R:3 comment="ZrV4 (GGA-PBE, optimized geometry)" spacegroup=Pm-3m total_magnetization_mub_per_cell=0.1 pbc="T T T"
Zr 0.0000 0.0000 0.0000
V 0.0000 0.0000 2.3081
V 0.0000 2.3081 0.0000
V 2.3081 0.0000 0.0000
V 2.3081 2.3081 2.3081

E_form for every record listed, in sequence, given in meV per atom: 311; 1742.